1.
DFT (PBE-GGA) results for a relaxed TmPuAlAu crystal.

Unit cell a=5.1055 b=5.1055 c=5.1055 alpha=60.00 beta=60.00 gamma=60.00
With the nearest neighbours (Å) after each atom.
Positions (direct):
Tm (0.0000, 0.0000, 0.0000)  4 Al 3.13, 4 Au 3.13
Pu (0.5000, 0.5000, 0.5000)  4 Al 3.13, 4 Au 3.13
Al (0.7500, 0.7500, 0.7500)  4 Tm 3.13, 4 Pu 3.13
Au (0.2500, 0.2500, 0.2500)  4 Tm 3.13, 4 Pu 3.13


2.
DFT (PBE-GGA) results for a relaxed Pu2AlZnAu6 crystal.

Unit cell a=6.9161 b=6.9161 c=6.9142 alpha=119.96 beta=119.96 gamma=90.02
With the nearest neighbours (Å) after each atom.
Positions (direct):
Pu (0.2500, 0.7500, 0.0000)  12 Au 3.46
Pu (0.7500, 0.2500, 0.0000)  12 Au 3.46
Al (0.0000, 0.0000, 0.5000)  6 Au 2.43
Zn (0.5000, 0.5000, 0.5000)  6 Au 2.46
Au (0.2485, 0.2485, 0.4998)  1 Al 2.43, 1 Zn 2.46
Au (0.2485, 0.2485, 0.9971)  1 Al 2.43, 1 Zn 2.46
Au (0.2485, 0.7515, 0.5000)  1 Al 2.43, 1 Zn 2.46
Au (0.7515, 0.2485, 0.5000)  1 Al 2.43, 1 Zn 2.46
Au (0.7515, 0.7515, 0.0029)  1 Al 2.43, 1 Zn 2.46
Au (0.7515, 0.7515, 0.5002)  1 Al 2.43, 1 Zn 2.46


| no. | formation enthalpy at 0 K (eV per formula unit) | theoretical density (kg/m3) |
| --- | --- | --- |
| 1 | -1.4 | 11238 |
| 2 | -1.1 | 12498 |